Below is a relaxed structure of ScSbPt3, with properties calculated at the GGA-PBE level.

Output
**Raw total energy**: -5.502 eV per atom
**ΔE to the lowest computed polymorph**: 0.000 eV/atom
**N(E_F)**: 0.52 states/eV/atom

The structure in CIF format:
```
data_ScSbPt3
_symmetry_space_group_name_H-M 'P m -3 m'
_symmetry_Int_Tables_number 221
_symmetry_space_group_name_Hall '-P 4 2 3'
_cell_length_a 4.9185
_cell_length_b 4.9185
_cell_length_c 4.9185
_cell_angle_alpha 90.00
_cell_angle_beta 90.00
_cell_angle_gamma 90.00
loop_
_atom_site_label
_atom_site_type_symbol
_atom_site_fract_x
_atom_site_fract_y
_atom_site_fract_z
Sc1 Sc 0.0000 0.0000 0.0000
Sb1 Sb 0.5000 0.5000 0.5000
Pt1 Pt 0.0000 0.5000 0.5000
```